PBE-GGA Cs2ZrPdO4, relaxed; V = 435.57 Å³ per cell; formation energy without anion corrections = -1575 meV/atom; total magnetization = 0.00 Bohr magnetons per cell
1.0
5.640 0.000 0.000
2.820 6.713 0.000
2.820 0.000 11.505
O Zr Cs Pd
8 2 4 2
Cartesian
5.724 4.686 5.029
4.145 5.383 0.724
2.735 2.026 5.029
4.145 1.330 10.781
9.954 5.383 10.781
8.375 4.686 6.477
4.314 1.330 0.724
5.724 2.026 6.477
0.000 0.000 0.000
7.050 3.356 5.753
7.050 3.356 1.493
7.050 3.356 10.013
5.640 0.000 4.260
2.820 0.000 7.245
2.820 0.000 0.000
4.230 3.356 5.753